Below is a relaxed structure of Tb6BeZn5, with properties calculated at the GGA-PBE level.

a b c (Å): 5.019 7.145 15.040
angles (deg): 90.00 90.00 90.00
Space group Immm (No. 71)
One atom of each set of equivalent atoms:
Tb (0.000, 0.241, 0.000) x4
Tb (0.000, 0.254, 0.336) x8
Be (0.000, 0.500, 0.500) x2
Zn (0.000, 0.000, 0.169) x4
Zn (0.000, 0.000, 0.500) x2
Zn (0.000, 0.500, 0.167) x4

Values from the calculation:
**Crystal system**: orthorhombic
**E**: -81.9 eV for the cell shown
**ρ**: 7.9 g cm⁻³